Record 1
Here is a relaxed structure of MgFe2Ir from Alexandria. Energies are from PBE.

Geometry as CIF:
```
data_MgFe2Ir
_chemical_formula_sum 'Mg1 Fe2 Ir1'
_cell_length_a 8.933
_cell_length_b 8.933
_cell_length_c 8.933
_cell_angle_alpha 17.56
_cell_angle_beta 17.56
_cell_angle_gamma 17.56
_symmetry_space_group_name_H-M 'P 1'
_symmetry_Int_Tables_number 1
loop_
_symmetry_equiv_pos_as_xyz
'x,y,z'
loop_
_atom_site_label
_atom_site_fract_x
_atom_site_fract_y
_atom_site_fract_z
Fe1 0.504 0.504 0.504
Fe2 0.996 0.996 0.996
Ir1 0.250 0.250 0.250
Mg1 0.750 0.750 0.750
```

Output
- energy (eV/atom) = -6.648
- formation energy (eV per atom) = 0.197
- crystal system = trigonal
- calculated volume (A^3/atom) = 14.157

=====

Record 2
Here is a relaxed structure of Mg2FeIr from Alexandria. Energies are from PBE.

Geometry as CIF:
```
data_Mg2FeIr
_chemical_formula_sum 'Mg2 Fe1 Ir1'
_cell_length_a 4.416
_cell_length_b 4.416
_cell_length_c 4.416
_cell_angle_alpha 120.05
_cell_angle_beta 120.05
_cell_angle_gamma 89.92
_symmetry_space_group_name_H-M 'P 1'
_symmetry_Int_Tables_number 1
loop_
_symmetry_equiv_pos_as_xyz
'x,y,z'
loop_
_atom_site_label
_atom_site_fract_x
_atom_site_fract_y
_atom_site_fract_z
Mg1 0.000 0.000 0.000
Mg2 0.250 0.750 0.500
Ir1 0.750 0.250 0.500
Fe1 0.500 0.500 0.000
```

Output
- energy (eV/atom) = -5.247
- formation energy (eV per atom) = -0.119
- crystal system = cubic
- calculated volume (A^3/atom) = 15.212

=====

Record 3
Here is a relaxed structure of MgFeIr2 from Alexandria. Energies are from PBE.

Geometry as CIF:
```
data_MgFeIr2
_chemical_formula_sum 'Mg1 Fe1 Ir2'
_cell_length_a 4.632
_cell_length_b 4.632
_cell_length_c 4.813
_cell_angle_alpha 79.40
_cell_angle_beta 79.40
_cell_angle_gamma 34.81
_symmetry_space_group_name_H-M 'P 1'
_symmetry_Int_Tables_number 1
loop_
_symmetry_equiv_pos_as_xyz
'x,y,z'
loop_
_atom_site_label
_atom_site_fract_x
_atom_site_fract_y
_atom_site_fract_z
Mg1 0.750 0.750 0.750
Ir1 0.507 0.507 0.490
Ir2 0.993 0.993 0.010
Fe1 0.250 0.250 0.250
```

Output
- energy (eV/atom) = -7.062
- formation energy (eV per atom) = -0.118
- crystal system = monoclinic
- calculated volume (A^3/atom) = 14.459